Entry from Alexandria: a geometry-optimized Nd3DyTl3 structure (PBE).

The value obtained for the relative energy among the computed polymorphs is 0 meV per atom. The energy of formation from the pure elements is -0.28 eV/atom. As for the total energy: -111.7 eV for the cell shown.

The structure belongs to space group P2_13 (No. 198); the cell edges are 9.5552, 9.5552 and 9.5552 Å and the angles 90.00°, 90.00° and 90.00°. Symmetry generates all atoms from Nd at (0.0698, 0.4302, 0.5698), Nd at (0.1735, 0.8265, 0.3265), Nd at (0.1762, 0.1762, 0.1762), Dy at (0.0740, 0.5740, 0.9260) and Tl at (0.0017, 0.2546, 0.8686).


Entry from Alexandria: a geometry-optimized Ac6ErTe8 structure (PBE).

For the formation energy from raw total energies, the calculation gives -1491 meV per atom. As for the total energy: -306.9 eV for the cell shown.

The structure belongs to space group Fm-3m (No. 225); the cell edges are 13.2967, 13.2967 and 13.2967 Å and the angles 90.00°, 90.00° and 90.00°. Symmetry generates all atoms from Ac at (0.0000, 0.2500, 0.2500), Er at (0.0000, 0.0000, 0.0000), Te at (0.0000, 0.0000, 0.2370) and Te at (0.2500, 0.2500, 0.2500).


Entry from Alexandria: a geometry-optimized La4Pm2TmTh structure (PBE).

The energy of formation from the pure elements is 0.12 eV/atom. As for the total energy: -40.1 eV for the cell shown.

The structure belongs to space group Pmmm (No. 47); the cell edges are 6.1138, 6.1244 and 7.4330 Å and the angles 90.00°, 90.00° and 90.00°. Symmetry generates all atoms from La at (0.0000, 0.0000, 0.2327), La at (0.5000, 0.5000, 0.2339), Pm at (0.0000, 0.5000, 0.5000), Pm at (0.5000, 0.0000, 0.5000), Tm at (0.0000, 0.5000, 0.0000) and Th at (0.5000, 0.0000, 0.0000).


Entry from Alexandria: a geometry-optimized RbNa2Te4 structure (PBE).

For the formation energy from raw total energies, the calculation gives -621 meV per atom. As for the total energy: -82.1 eV for the cell shown.

The structure belongs to space group C2/c (No. 15); the cell edges are 21.0750, 5.1546 and 9.5335 Å and the angles 90.00°, 103.23° and 90.00°. Symmetry generates all atoms from Rb at (0.0000, 0.1364, 0.2500), Na at (0.2428, 0.4842, 0.6215), Te at (0.1358, 0.3742, 0.8200) and Te at (0.1410, 0.0026, 0.0719).


Entry from Alexandria: a geometry-optimized La4FeI5 structure (PBE).

For the formation energy from raw total energies, the calculation gives -1101 meV per atom. As for the total energy: -93.9 eV for the cell shown.

The structure belongs to space group C2/m (No. 12); the cell edges are 19.6180, 4.4126 and 9.4847 Å and the angles 90.00°, 103.55° and 90.00°. Symmetry generates all atoms from La at (0.0007, 0.0000, 0.2839), La at (0.1304, 0.5000, 0.5670), Fe at (0.0000, 0.5000, 0.5000), I at (0.0000, 0.5000, 0.0000), I at (0.1682, 0.0000, 0.8328) and I at (0.1726, 0.0000, 0.3368).


Entry from Alexandria: a geometry-optimized SbMo6S8 structure (PBE).

For the formation energy from raw total energies, the calculation gives -599 meV per atom. As for the total energy: -333.3 eV for the cell shown.

The structure belongs to space group R-3 (No. 148, hexagonal axes); the cell edges are 9.2644, 9.2644 and 11.2696 Å and the angles 90.00°, 90.00° and 120.00°. Symmetry generates all atoms from Sb at (0.0000, 0.0000, 0.0000), Mo at (0.0174, 0.8406, 0.3996), S at (0.0000, 0.0000, 0.2374) and S at (0.0053, 0.6236, 0.2526).


Entry from Alexandria: a geometry-optimized Pu2GaNi3As4 structure (PBE).

The energy of formation from the pure elements is -0.53 eV/atom. As for the total energy: -73.0 eV for the cell shown.

The structure belongs to space group P-4m2 (No. 115); the cell edges are 4.2883, 4.2883 and 9.4306 Å and the angles 90.00°, 90.00° and 90.00°. Symmetry generates all atoms from Pu at (0.0000, 0.5000, 0.2389), Ga at (0.0000, 0.0000, 0.5000), Ni at (0.0000, 0.5000, 0.8894), Ni at (0.5000, 0.5000, 0.5000), As at (0.0000, 0.0000, 0.0000), As at (0.0000, 0.5000, 0.6441) and As at (0.5000, 0.5000, 0.0000).


Entry from Alexandria: a geometry-optimized LiZrZnFe2 structure (PBE).

The energy of formation from the pure elements is 1.34 eV/atom. As for the total energy: -22.0 eV for the cell shown.

The structure belongs to space group P4/mmm (No. 123); the cell edges are 4.5572, 4.5572 and 4.9889 Å and the angles 90.00°, 90.00° and 90.00°. Symmetry generates all atoms from Li at (0.0000, 0.0000, 0.0000), Zr at (0.0000, 0.0000, 0.5000), Zn at (0.5000, 0.5000, 0.0000) and Fe at (0.0000, 0.5000, 0.5000).


Entry from Alexandria: a geometry-optimized NaNpS2 structure (PBE).

For the formation energy from raw total energies, the calculation gives -1179 meV per atom. As for the total energy: -27.2 eV for the cell shown.

The structure belongs to space group P4/mmm (No. 123); the cell edges are 3.4090, 3.4090 and 7.1231 Å and the angles 90.00°, 90.00° and 90.00°. Symmetry generates all atoms from Na at (0.0000, 0.0000, 0.0000), Np at (0.0000, 0.0000, 0.5000) and S at (0.5000, 0.5000, 0.2756).


Entry from Alexandria: a geometry-optimized BHIr3 structure (PBE).

The value obtained for the relative energy among the computed polymorphs is 0 meV per atom. As for the total energy: -33.0 eV for the cell shown.

The structure belongs to space group Pm-3m (No. 221); the cell edges are 3.8278, 3.8278 and 3.8278 Å and the angles 90.00°, 90.00° and 90.00°. Symmetry generates all atoms from B at (0.0000, 0.0000, 0.0000), H at (0.5000, 0.5000, 0.5000) and Ir at (0.0000, 0.5000, 0.5000).


Entry from Alexandria: a geometry-optimized AgAsIO2 structure (PBE).

For the formation energy from raw total energies, the calculation gives 721 meV per atom. The value obtained for the relative energy among the computed polymorphs is 1307 meV per atom. As for the total energy: -15.4 eV for the cell shown.

The structure belongs to space group P4/mmm (No. 123); the cell edges are 4.1754, 4.1754 and 5.5260 Å and the angles 90.00°, 90.00° and 90.00°. Symmetry generates all atoms from Ag at (0.0000, 0.0000, 0.0000), As at (0.5000, 0.5000, 0.5000), I at (0.0000, 0.0000, 0.5000) and O at (0.0000, 0.5000, 0.0000).


Entry from Alexandria: a geometry-optimized RbCdSn structure (PBE).

The value obtained for the relative energy among the computed polymorphs is 54 meV per atom. The energy of formation from the pure elements is -0.10 eV/atom. As for the total energy: -24.7 eV for the cell shown.

The structure belongs to space group I4/mmm (No. 139); the cell edges are 5.1860, 5.1860 and 16.8540 Å and the angles 90.00°, 90.00° and 90.00°. Symmetry generates all atoms from Rb at (0.0000, 0.0000, 0.1710), Cd at (0.0000, 0.5000, 0.0000) and Sn at (0.0000, 0.0000, 0.4049).


Entry from Alexandria: a geometry-optimized Ca4SiN structure (PBE).

For the formation energy from raw total energies, the calculation gives -497 meV per atom. The value obtained for the relative energy among the computed polymorphs is 50 meV per atom. As for the total energy: -98.9 eV for the cell shown.

The structure belongs to space group C2/c (No. 15); the cell edges are 8.6243, 14.2344 and 6.4062 Å and the angles 90.00°, 127.22° and 90.00°. Symmetry generates all atoms from Ca at (0.1370, 0.1981, 0.1481), Ca at (0.2371, 0.0350, 0.7018), Si at (0.0000, 0.3694, 0.7500) and N at (0.0000, 0.0735, 0.2500).


Entry from Alexandria: a geometry-optimized Ag3PtBr6F2 structure (PBE).

For the formation energy from raw total energies, the calculation gives -490 meV per atom. As for the total energy: -68.5 eV for the cell shown.

The structure belongs to space group C2/m (No. 12); the cell edges are 13.7470, 7.4783 and 6.2929 Å and the angles 90.00°, 110.19° and 90.00°. Symmetry generates all atoms from Ag at (0.0000, 0.0000, 0.0000), Ag at (0.2500, 0.2500, 0.5000), Pt at (0.0000, 0.5000, 0.5000), Br at (0.1102, 0.5000, 0.2581), Br at (0.1110, 0.2605, 0.7467) and F at (0.1455, 0.0000, 0.2643).


Entry from Alexandria: a geometry-optimized BaTlW structure (PBE).

The value obtained for the relative energy among the computed polymorphs is 154 meV per atom. The energy of formation from the pure elements is 1.18 eV/atom. As for the total energy: -13.7 eV for the cell shown.

The structure belongs to space group P-6m2 (No. 187); the cell edges are 5.4507, 5.4507 and 3.1956 Å and the angles 90.00°, 90.00° and 120.00°. Symmetry generates all atoms from Ba at (0.0000, 0.0000, 0.0000), Tl at (0.6667, 0.3333, 0.5000) and W at (0.3333, 0.6667, 0.5000).


Entry from Alexandria: a geometry-optimized Dy2Y2Ga4Pd structure (PBE).

The energy of formation from the pure elements is -0.43 eV/atom. As for the total energy: -86.5 eV for the cell shown.

The structure belongs to space group I4/mmm (No. 139); the cell edges are 7.0009, 7.0009 and 8.6603 Å and the angles 90.00°, 90.00° and 90.00°. Symmetry generates all atoms from Dy at (0.0000, 0.5000, 0.2500), Y at (0.0000, 0.0000, 0.1919), Ga at (0.2498, 0.2498, 0.0000) and Pd at (0.0000, 0.0000, 0.5000).


Entry from Alexandria: a geometry-optimized EuBiF structure (PBE).

For the formation energy from raw total energies, the calculation gives -1937 meV per atom. The value obtained for the relative energy among the computed polymorphs is 50 meV per atom. As for the total energy: -43.7 eV for the cell shown.

The structure belongs to space group I4mm (No. 107); the cell edges are 3.4405, 3.4405 and 12.6806 Å and the angles 90.00°, 90.00° and 90.00°. Symmetry generates all atoms from Eu at (0.0000, 0.0000, 0.0000), Bi at (0.0000, 0.0000, 0.2828) and F at (0.0000, 0.0000, 0.5481).


Entry from Alexandria: a geometry-optimized PmZrGa structure (PBE).

The value obtained for the relative energy among the computed polymorphs is 839 meV per atom. The energy of formation from the pure elements is 0.43 eV/atom. As for the total energy: -60.1 eV for the cell shown.

The structure belongs to space group Cmmm (No. 65); the cell edges are 10.0417, 11.1993 and 3.2304 Å and the angles 90.00°, 90.00° and 90.00°. Symmetry generates all atoms from Pm at (0.0000, 0.2350, 0.0000), Zr at (0.0000, 0.0000, 0.5000), Zr at (0.0000, 0.5000, 0.0000) and Ga at (0.2313, 0.5000, 0.5000).


Entry from Alexandria: a geometry-optimized SeBr2O structure (PBE).

For the formation energy from raw total energies, the calculation gives -322 meV per atom. As for the total energy: -52.3 eV for the cell shown.

The structure belongs to space group Pna2_1 (No. 33); the cell edges are 10.5186, 13.1073 and 4.1031 Å and the angles 90.00°, 90.00° and 90.00°. Symmetry generates all atoms from Se at (0.2108, 0.0162, 0.0000), Br at (0.0644, 0.1364, 0.2693), Br at (0.1133, 0.6302, 0.4159) and O at (0.2449, 0.4386, 0.7908).


Entry from Alexandria: a geometry-optimized LaNbV2Cu structure (PBE).

The energy of formation from the pure elements is 1.80 eV/atom. As for the total energy: -28.3 eV for the cell shown.

The structure belongs to space group P4/mmm (No. 123); the cell edges are 4.5115, 4.5115 and 4.8780 Å and the angles 90.00°, 90.00° and 90.00°. Symmetry generates all atoms from La at (0.0000, 0.0000, 0.0000), Nb at (0.0000, 0.0000, 0.5000), V at (0.0000, 0.5000, 0.0000) and Cu at (0.5000, 0.5000, 0.5000).